Entry 1:
CrRhBr2: single point on PBEsol structure, SCAN.

For the total energy, the calculation gives -22.447 eV per atom. As for the magnetic moment: 0.000 μB per atom.

It has space group P4mm (No. 99), with a = 2.948 Å, b = 2.948 Å, c = 8.198 Å, α = 90.00°, β = 90.00° and γ = 90.00°. The inequivalent atoms are Cr at (0.000, 0.000, 0.000), Rh at (0.500, 0.500, 0.185), Br at (0.000, 0.000, 0.416) and Br at (0.500, 0.500, 0.812).

Entry 2:
SrRu2Cl: single point on PBEsol structure, SCAN.

For the total energy, the calculation gives -25.187 eV per atom. As for the magnetic moment: 0.000 μB per atom.

It has space group Cm (No. 8), with a = 6.904 Å, b = 3.788 Å, c = 6.982 Å, α = 90.00°, β = 104.03° and γ = 90.00°. The inequivalent atoms are Sr at (0.000, 0.000, 0.000), Ru at (0.251, 0.500, 0.407), Ru at (0.401, 0.000, 0.309) and Cl at (0.254, 0.000, 0.713).

Entry 3:
CrAsAu2: single point on PBEsol structure, SCAN.

For the total energy, the calculation gives -44.297 eV per atom. As for the magnetic moment: 0.816 μB per atom.

It has space group Immm (No. 71), with a = 3.527 Å, b = 3.646 Å, c = 10.577 Å, α = 90.00°, β = 90.00° and γ = 90.00°. The inequivalent atoms are Cr at (0.000, 0.000, 0.000), As at (0.000, 0.000, 0.500) and Au at (0.000, 0.500, 0.198).

Entry 4:
TcSbAs: single point on PBEsol structure, SCAN.

For the total energy, the calculation gives -30.840 eV per atom. As for the magnetic moment: 0.000 μB per atom.

It has space group P3m1 (No. 156), with a = 3.2965 Å, b = 3.2965 Å, c = 5.9409 Å, α = 90.00°, β = 90.00° and γ = 120.00°. The inequivalent atoms are Tc at (0.0000, 0.0000, 0.0000), Sb at (0.6667, 0.3333, 0.3261) and As at (0.3333, 0.6667, 0.7307).